Below is VSbS3 after structural relaxation, with properties calculated at the PBE level.

Results
The uncorrected formation energy comes out at -379 meV per atom. Its magnetic moment is 0.00 μB per formula unit. The calculation puts the density of states at the Fermi level at 0.109 states/eV/atom. For the total energy, the calculation gives -0.2023 hartree per atom.

abc: 3.2631 7.7737 7.7737
angles: 126.48 90.00 90.00
Closest atoms and distances in Å follow each position.
Atoms (fractional coordinates):
V 0.0000 0.4093 0.5907  1 S 2.08
Sb 0.5000 0.0661 0.9339  2 S 2.53
S 0.5000 0.6745 0.7814  2 V 2.34, 1 Sb 2.53
S 0.0000 0.2597 0.7403  1 V 2.08
S 0.5000 0.2186 0.3255  2 V 2.34, 1 Sb 2.53